# U2Al12Fe7 (PBE, optimized geometry)
data_U2Al12Fe7
_space_group_name_H-M_alt 'P -6'
_space_group_IT_number 174
_cell_length_a 10.6960
_cell_length_b 10.6960
_cell_length_c 3.0120
_cell_angle_alpha 90.00
_cell_angle_beta 90.00
_cell_angle_gamma 120.00
loop_
_space_group_symop_operation_xyz
'x,y,z'
'-x+y,-x,-z'
'-y,x-y,z'
'x,y,-z'
'-x+y,-x,z'
'-y,x-y,-z'
loop_
_atom_site_label
_atom_site_fract_x
_atom_site_fract_y
_atom_site_fract_z
_atom_site_occupancy
U1 0.0000 0.0000 0.0000 1
U2 0.3333 0.6667 0.5000 1
Al1 0.0562 0.7677 0.5000 1
Al2 0.0965 0.3832 0.0000 1
Al3 0.3984 0.2263 0.0000 1
Al4 0.5264 0.1051 0.5000 1
Fe1 0.0942 0.6087 0.0000 1
Fe2 0.2185 0.0423 0.5000 1
Fe3 0.6667 0.3333 0.0000 1
# E in Ry/atom: -0.459
# Mass density in g/cm3: 6.6
# ΔE_f in eV per formula unit: -4.30